Compound: CaRu3Se
Source: Alexandria
Functional: PBE-GGA
Structure: relaxed

Computed properties:
ΔE to the lowest computed polymorph   1812 meV per atom
Symmetry   Pm-3m, No. 221
Formation energy without anion corrections   2.254 eV per atom

Cell lengths 4.813, 4.813, 4.813 Å; angles 90.00, 90.00, 90.00 degrees
Each line ends with the local moment (μB).
Atoms (fractional coordinates):
1 Ru 0.500 0.000 0.000  2.15
2 Se 0.500 0.500 0.500  0.15
3 Ca 0.000 0.000 0.000  -0.08
4 Ru 0.000 0.500 0.000  2.03
5 Ru 0.000 0.000 0.500  1.63

---

Compound: CaRu3Se
Source: Alexandria
Functional: PBE-GGA
Structure: relaxed

Computed properties:
ΔE to the lowest computed polymorph   0 meV per atom
Symmetry   Pm-3m, No. 221
Formation energy without anion corrections   0.442 eV per atom

Cell lengths 4.595, 4.595, 4.595 Å; angles 90.00, 90.00, 90.00 degrees
Atoms (fractional coordinates):
1 Ru 0.000 0.000 0.500
2 Se 0.000 0.000 0.000
3 Ca 0.500 0.500 0.500
4 Ru 0.500 0.000 0.000
5 Ru 0.000 0.500 0.000

---

Compound: Ca2RuSe
Source: Alexandria
Functional: PBE-GGA
Structure: relaxed

Computed properties:
Symmetry   P4mm, No. 99
Formation energy without anion corrections   -0.247 eV per atom

Cell lengths 4.157, 4.157, 6.092 Å; angles 90.00, 90.00, 90.00 degrees
Each line ends with the local moment (μB).
Atoms (fractional coordinates):
1 Ca 0.500 0.500 0.342  -0.01
2 Ru 0.000 0.000 0.409  1.75
3 Se 0.500 0.500 0.844  0.06
4 Ca 0.000 0.000 0.906  -0.01

---

Compound: CaRuSe
Source: Alexandria
Functional: PBE-GGA
Structure: relaxed

Computed properties:
ΔE to the lowest computed polymorph   197 meV per atom
Symmetry   I4mm, No. 107
Formation energy without anion corrections   -0.317 eV per atom

Cell lengths 5.885, 5.885, 3.321 Å; angles 73.61, 73.62, 32.78 degrees
Atoms (fractional coordinates):
1 Ca 0.996 0.996 0.004
2 Se 0.703 0.703 0.297
3 Ru 0.301 0.301 0.699